1.
! VFeGe2B (PBE, relaxed); values from VASP
&SYSTEM
  ibrav = 0, nat = 5, ntyp = 4
/
ATOMIC_SPECIES
Ge 72.64 Ge.upf
B 10.81 B.upf
Fe 55.84 Fe.upf
V 50.94 V.upf
CELL_PARAMETERS angstrom
4.766 0.000 0.000
0.000 4.104 0.000
0.000 0.000 4.766
ATOMIC_POSITIONS crystal
Ge 0.000 0.000 0.500
Ge 0.500 0.000 0.000
B 0.000 0.500 0.000
Fe 0.500 0.500 0.500
V 0.000 0.000 0.000
! DFT formation energy: 1307 meV/atom
! total magnetic moment: 0.35 μB/cell

2.
! Rb3Hf3TiSe8 (PBE, relaxed); values from VASP
&SYSTEM
  ibrav = 0, nat = 15, ntyp = 4
/
ATOMIC_SPECIES
Rb 85.47 Rb.upf
Hf 178.49 Hf.upf
Ti 47.87 Ti.upf
Se 78.96 Se.upf
CELL_PARAMETERS angstrom
-1.236 -2.166 7.251
6.706 -1.563 -3.381
-1.049 8.949 2.495
ATOMIC_POSITIONS crystal
Rb 0.000 0.000 0.000
Rb 0.000 0.500 0.000
Rb 0.500 0.500 0.000
Hf 0.500 0.000 0.500
Hf 0.500 0.500 0.500
Hf 0.000 0.500 0.500
Ti 0.000 0.000 0.500
Se 0.269 0.539 0.308
Se 0.731 0.461 0.692
Se 0.772 0.543 0.313
Se 0.228 0.457 0.687
Se 0.771 0.041 0.313
Se 0.229 0.959 0.687
Se 0.270 0.041 0.313
Se 0.730 0.959 0.687
! raw formation energy: -1.293 eV per atom
! total magnetic moment: 1.28 μB/cell

3.
! CaTcSe (PBE, relaxed); values from VASP
&SYSTEM
  ibrav = 0, nat = 3, ntyp = 3
/
ATOMIC_SPECIES
Ca 40.08 Ca.upf
Tc 98.00 Tc.upf
Se 78.96 Se.upf
CELL_PARAMETERS angstrom
-0.896 -3.822 -4.504
1.497 -5.134 -2.663
-2.110 -2.259 1.134
ATOMIC_POSITIONS crystal
Ca 0.002 0.002 0.998
Tc 0.701 0.701 0.299
Se 0.297 0.297 0.703
! raw formation energy: -0.289 eV per atom
! total magnetic moment: 0.00 μB/cell

Question: Look up the total magnetic moment of the first one.
Answer: 0.35 μB/cell